Entry 1:
First-principles (PBE) data for a relaxed structure of MnRuW2, as listed in the Alexandria database.

Cell: 4.354 4.354 4.354 Å, 60.00 60.00 60.00°
Element x y z (fractional)
1 Mn 0.000 0.000 0.000
2 Ru 0.500 0.500 0.500
3 W 0.250 0.250 0.250
4 W 0.750 0.750 0.750

Summary:
DOS at the Fermi energy = 5.7 states/eV/cell
energy of formation = 0.2609 eV/atom
symmetry = Fm-3m
spin magnetization = 1.81 μB/f.u.
energy above the most stable polymorph in this dataset = 170 meV/atom

***

Entry 2:
First-principles (PBE) data for a relaxed structure of Mn2RuW, as listed in the Alexandria database.

Cell: 3.125 4.111 4.230 Å, 90.00 90.00 90.00°
Element x y z (fractional)
1 Mn 0.000 0.000 0.000
2 Mn 0.500 0.000 0.500
3 Ru 0.000 0.500 0.500
4 W 0.500 0.500 0.000

Summary:
DOS at the Fermi energy = 1.7 states/eV/cell
energy of formation = 0.0762 eV/atom
symmetry = Pmmm
spin magnetization = 3.67 μB/f.u.
energy above the most stable polymorph in this dataset = 9 meV/atom

***

Entry 3:
First-principles (PBE) data for a relaxed structure of Mn2RuW, as listed in the Alexandria database.

Cell: 4.255 4.255 4.255 Å, 60.00 60.00 60.00°
Element x y z (fractional)
1 Mn 0.250 0.250 0.250
2 Mn 0.750 0.750 0.750
3 Ru 0.000 0.000 0.000
4 W 0.500 0.500 0.500

Summary:
DOS at the Fermi energy = 3.3 states/eV/cell
energy of formation = 0.1074 eV/atom
symmetry = Fm-3m
spin magnetization = 4.20 μB/f.u.
energy above the most stable polymorph in this dataset = 40 meV/atom

***

Entry 4:
First-principles (PBE) data for a relaxed structure of MnRuW3, as listed in the Alexandria database.

Cell: 4.415 4.415 4.415 Å, 90.00 90.00 90.00°
Element x y z (fractional)
1 Mn 0.000 0.000 0.000
2 Ru 0.500 0.500 0.500
3 W 0.000 0.000 0.500
4 W 0.000 0.500 0.000
5 W 0.500 0.000 0.000

Summary:
DOS at the Fermi energy = 5.5 states/eV/cell
energy of formation = 1.4129 eV/atom
symmetry = Pm-3m
spin magnetization = 0.00 μB/f.u.
energy above the most stable polymorph in this dataset = 0 meV/atom

***

Entry 5:
First-principles (PBE) data for a relaxed structure of MnRuW2, as listed in the Alexandria database.

Cell: 3.133 3.133 6.049 Å, 90.00 90.00 90.00°
Element x y z (fractional)
1 Mn 0.000 0.000 0.000
2 Ru 0.500 0.500 0.256
3 W 0.000 0.000 0.502
4 W 0.500 0.500 0.773

Summary:
DOS at the Fermi energy = 2.5 states/eV/cell
energy of formation = 0.0912 eV/atom
symmetry = P4mm
spin magnetization = 2.78 μB/f.u.
energy above the most stable polymorph in this dataset = 0 meV/atom

***

Entry 6:
First-principles (PBE) data for a relaxed structure of Mn2RuW, as listed in the Alexandria database.

Cell: 4.597 4.597 4.597 Å, 131.67 131.52 70.87°
Element x y z (fractional)
1 Mn 0.250 0.250 0.000
2 Mn 0.750 0.750 0.000
3 Ru 0.500 0.000 0.500
4 W 0.000 0.500 0.500

Summary:
DOS at the Fermi energy = 4.5 states/eV/cell
energy of formation = 0.1293 eV/atom
symmetry = Immm
spin magnetization = 2.80 μB/f.u.
energy above the most stable polymorph in this dataset = 62 meV/atom

***

Entry 7:
First-principles (PBE) data for a relaxed structure of Mn3RuW, as listed in the Alexandria database.

Cell: 4.362 4.362 4.362 Å, 90.00 90.00 90.00°
Element x y z (fractional)
1 Mn 0.000 0.000 0.500
2 Mn 0.000 0.500 0.000
3 Mn 0.500 0.000 0.000
4 Ru 0.500 0.500 0.500
5 W 0.000 0.000 0.000

Summary:
DOS at the Fermi energy = 10.8 states/eV/cell
energy of formation = 1.9896 eV/atom
symmetry = Pm-3m
spin magnetization = 0.00 μB/f.u.
energy above the most stable polymorph in this dataset = 143 meV/atom

***

Entry 8:
First-principles (PBE) data for a relaxed structure of Mn2RuW, as listed in the Alexandria database.

Cell: 9.550 9.550 9.550 Å, 158.18 158.18 31.06°
Element x y z (fractional)
1 Mn 0.123 0.625 0.998
2 Mn 0.375 0.373 0.498
3 Mn 0.627 0.125 0.002
4 Mn 0.875 0.877 0.502
5 Ru 0.000 0.000 0.000
6 Ru 0.750 0.250 0.500
7 W 0.250 0.750 0.500
8 W 0.500 0.500 0.000

Summary:
DOS at the Fermi energy = 8.5 states/eV/cell
energy of formation = 0.7042 eV/atom
symmetry = I-42d
spin magnetization = 5.51 μB/f.u.
energy above the most stable polymorph in this dataset = 637 meV/atom